[1]
Density functional theory data (PBE) for crystalline AlCuAs at its relaxed geometry.

Summary:
Symmetry   C2/m, No. 12
E_form   -61 meV per atom
V   113.12 Å³/cell

extended XYZ file:
```
6
Lattice="3.494 -2.009 0.000 3.494 2.009 0.000 -2.259 0.000 8.059" Properties=species:S:1:pos:R:3 pbc="T T T"
Al 0.014 0.000 1.549
Al 4.714 0.000 6.510
Cu 2.333 0.000 0.153
Cu 2.396 0.000 7.906
As 2.345 0.000 2.649
As 2.384 0.000 5.410
```

=====

[2]
Density functional theory data (PBE) for crystalline UZnHg at its relaxed geometry.

Summary:
Symmetry   Fmmm, No. 69
E_form   252 meV per atom
V   131.92 Å³/cell

extended XYZ file:
```
6
Lattice="0.000 4.069 5.792 2.799 0.000 5.792 2.799 4.069 0.000" Properties=species:S:1:pos:R:3 pbc="T T T"
U 2.799 1.301 5.792
U 2.799 6.837 5.792
Zn 2.799 4.069 4.482
Zn 2.799 4.069 7.102
Hg 1.399 2.035 2.896
Hg 4.198 6.104 8.688
```

=====

[3]
Density functional theory data (PBE) for crystalline GaCo2As at its relaxed geometry.

Summary:
Symmetry   Fm-3m, No. 225
E_form   -47 meV per atom
V   50.45 Å³/cell

extended XYZ file:
```
4
Lattice="0.000 2.933 2.933 2.933 0.000 2.933 2.933 2.933 0.000" Properties=species:S:1:pos:R:3 pbc="T T T"
Ga 0.000 0.000 0.000
Co 1.466 1.466 1.466
Co 4.399 4.399 4.399
As 2.933 2.933 2.933
```

=====

Which of these has the lowest V? GaCo2As

=====

What is the V in the second record? 131.92 Å³/cell